Record 1
{"formula": "AlZn2Sb", "functional": "GGA-PBEsol", "state": "optimized geometry", "cell": [[-3.284, -0.867, -4.427], [-4.260, -4.182, 0.463], [-5.032, 3.218, -0.414]], "species": ["Sb", "Sb", "Zn", "Zn", "Zn", "Zn", "Al", "Al"], "frac_coords": [[0.750, 0.500, 0.500], [0.000, 0.000, 0.000], [0.875, 0.991, 0.509], [0.375, 0.009, 0.491], [0.616, 0.509, 0.009], [0.134, 0.491, 0.991], [0.250, 0.500, 0.500], [0.500, 0.000, 0.000]], "m_tot_mub_per_fu": 0.00, "spacegroup": "I-42d", "total_energy_ev_per_atom": -2.729, "relative_energy_mev_per_atom": 50, "crystal_system": "tetragonal", "volume_a3_per_cell": 157, "raw_formation_energy_ev_per_atom": 0.2245}

---

Record 2
{"formula": "Al2ZnSb", "functional": "GGA-PBEsol", "state": "optimized geometry", "cell": [[-2.090, -4.152, 1.123], [-0.329, -3.473, -3.271], [2.640, -3.962, 0.446]], "species": ["Zn", "Al", "Al", "Sb"], "frac_coords": [[0.750, 0.750, 0.750], [0.000, 0.000, 0.000], [0.250, 0.250, 0.250], [0.500, 0.500, 0.500]], "m_tot_mub_per_fu": 0.00, "spacegroup": "F-43m", "total_energy_ev_per_atom": -3.345, "crystal_system": "cubic", "volume_a3_per_cell": 77, "raw_formation_energy_ev_per_atom": 0.2355}